Record 1
A geometry-optimized Mn2MoBr structure. Source: the Alexandria database, functional PBE.

POSCAR file:
```
Mn2MoBr
1.0
-3.202 3.046 0.164
-3.387 -0.198 -2.837
-4.032 -1.105 1.444
Br Mn Mo
1 2 1
direct
0.500 0.500 0.500
0.000 0.000 0.000
0.250 0.250 0.250
0.750 0.750 0.750
```

Properties
DFT total energy, eV per atom: -6.8522
Formation energy from raw total energies, eV per atom: 0.859
Mass density, g cm⁻³: 7.76

***

Record 2
A geometry-optimized MnMoBr2 structure. Source: the Alexandria database, functional PBE.

POSCAR file:
```
MnMoBr2
1.0
8.054 0.117 0.007
6.190 5.154 -0.007
-6.869 -3.317 2.585
Br Mn Mo
2 1 1
direct
0.112 0.112 0.000
0.388 0.388 0.000
0.750 0.250 0.500
0.250 0.750 0.500
```

Properties
DFT total energy, eV per atom: -5.7019
Formation energy from raw total energies, eV per atom: 0.135
Mass density, g cm⁻³: 4.90

***

Record 3
A geometry-optimized Mn2MoBr structure. Source: the Alexandria database, functional PBE.

POSCAR file:
```
Mn2MoBr
1.0
-1.384 2.739 0.746
0.449 -1.008 4.532
4.169 2.093 0.052
Br Mn Mo
1 2 1
direct
0.500 0.000 0.500
0.000 0.000 0.000
0.000 0.500 0.500
0.500 0.500 0.000
```

Properties
DFT total energy, eV per atom: -6.8991
Formation energy from raw total energies, eV per atom: 0.812
Mass density, g cm⁻³: 6.90

***

Record 4
A geometry-optimized MnMo2Br structure. Source: the Alexandria database, functional PBE.

POSCAR file:
```
MnMo2Br
1.0
-1.701 -3.749 1.931
1.415 -2.469 -3.547
2.574 -0.470 1.354
Br Mn Mo
1 1 2
direct
0.500 0.000 0.500
0.000 0.500 0.500
0.000 0.000 0.000
0.500 0.500 0.000
```

Properties
DFT total energy, eV per atom: -7.3946
Formation energy from raw total energies, eV per atom: 0.732
Mass density, g cm⁻³: 8.90

***

Record 5
A geometry-optimized MnMo2Br structure. Source: the Alexandria database, functional PBE.

POSCAR file:
```
MnMo2Br
1.0
-3.788 -1.982 -3.305
-4.078 -2.922 2.009
2.612 4.731 0.047
Br Mn Mo
1 1 2
direct
0.750 0.250 0.500
0.250 0.750 0.500
0.995 0.995 0.000
0.505 0.505 0.000
```

Properties
DFT total energy, eV per atom: -7.3607
Formation energy from raw total energies, eV per atom: 0.765
Mass density, g cm⁻³: 8.44

***

Record 6
A geometry-optimized MnMo2Br structure. Source: the Alexandria database, functional PBE.

POSCAR file:
```
MnMo2Br
1.0
-2.422 -0.847 2.050
1.840 -2.460 1.159
2.509 4.065 4.645
Br Mn Mo
1 1 2
direct
0.500 0.500 0.250
0.500 0.500 0.750
0.000 0.000 0.926
0.000 0.000 0.574
```

Properties
DFT total energy, eV per atom: -7.5814
Formation energy from raw total energies, eV per atom: 0.545
Mass density, g cm⁻³: 7.55

***

Record 7
A geometry-optimized MnMoBr2 structure. Source: the Alexandria database, functional PBE.

POSCAR file:
```
MnMoBr2
1.0
-4.818 -2.594 -1.132
2.721 -3.631 -3.261
-0.296 -6.362 2.049
Mo Mn Br
2 2 4
direct
0.000 0.000 0.000
0.750 0.250 0.500
0.500 0.500 0.000
0.250 0.750 0.500
0.600 0.125 0.250
0.150 0.625 0.250
0.375 0.400 0.750
0.875 0.850 0.750
```

Properties
DFT total energy, eV per atom: -4.7756
Formation energy from raw total energies, eV per atom: 1.061
Mass density, g cm⁻³: 6.12

***

Record 8
A geometry-optimized Mn2MoBr structure. Source: the Alexandria database, functional PBE.

POSCAR file:
```
Mn2MoBr
1.0
0.000 3.033 3.033
3.033 0.000 3.033
3.033 3.033 0.000
Mo Mn Br
1 2 1
direct
0.500 0.500 0.500
0.250 0.250 0.250
0.750 0.750 0.750
0.000 0.000 0.000
```

Properties
DFT total energy, eV per atom: -6.6073
Formation energy from raw total energies, eV per atom: 1.103
Mass density, g cm⁻³: 8.50

***

Record 9
A geometry-optimized MnMoBr2 structure. Source: the Alexandria database, functional PBE.

POSCAR file:
```
MnMoBr2
1.0
-2.929 -0.224 -3.966
-4.814 -0.948 0.538
-3.322 3.557 -0.818
Br Mn Mo
2 1 1
direct
0.000 0.000 0.000
0.250 0.250 0.250
0.500 0.500 0.500
0.750 0.750 0.750
```

Properties
DFT total energy, eV per atom: -4.9474
Formation energy from raw total energies, eV per atom: 0.889
Mass density, g cm⁻³: 6.07

***

Record 10
A geometry-optimized MnMoBr structure. Source: the Alexandria database, functional PBE.

POSCAR file:
```
MnMoBr
1.0
6.806 -0.019 0.013
5.791 2.919 0.002
1.014 -1.089 2.729
Br Mn Mo
1 1 1
direct
0.006 0.006 0.994
0.676 0.676 0.324
0.318 0.318 0.682
```

Properties
DFT total energy, eV per atom: -6.6344
Formation energy from raw total energies, eV per atom: 0.590
Mass density, g cm⁻³: 7.04

***

Record 11
A geometry-optimized MnMoBr2 structure. Source: the Alexandria database, functional PBE.

POSCAR file:
```
MnMoBr2
1.0
1.684 5.223 6.455
4.074 3.157 6.725
4.300 5.586 4.701
Mo Mn Br
1 1 2
direct
0.000 0.000 0.000
0.500 0.500 0.500
0.900 0.900 0.900
0.100 0.100 0.100
```

Properties
DFT total energy, eV per atom: -4.9969
Formation energy from raw total energies, eV per atom: 0.840
Mass density, g cm⁻³: 7.16

***

Record 12
A geometry-optimized MnMo2Br structure. Source: the Alexandria database, functional PBE.

POSCAR file:
```
MnMo2Br
1.0
-1.533 -0.513 2.534
-1.105 -1.400 -2.419
5.002 -6.794 1.649
Br Mn Mo
1 1 2
direct
0.000 0.000 0.517
0.500 0.500 0.759
0.000 0.000 0.001
0.500 0.500 0.223
```

Properties
DFT total energy, eV per atom: -7.6438
Formation energy from raw total energies, eV per atom: 0.482
Mass density, g cm⁻³: 7.67